RbNa2YCd | SCAN | single point on PBEsol structure

Cell: 5.7930 5.9926 5.9926 Å, 90.00 90.00 90.00°
Each line ends with the local moment (μB).
Element x y z (fractional)
Rb (0.5000, 0.5000, 0.5000)  0.01
Na (0.0000, 0.0000, 0.5000)  0.00
Na (0.0000, 0.5000, 0.0000)  0.00
Cd (0.0000, 0.0000, 0.0000)  0.02
Y (0.5000, 0.0000, 0.0000)  0.21

- DFT total energy: -17.254 eV/atom
- Energy of formation: 232 meV/atom
- Total magnetization: 0.5 μB per formula unit
- Density of states at the Fermi level: 0.785 states/eV/atom